a.
# Cr3CuPb

A relaxed Cr3CuPb crystal (PBE-GGA, Alexandria via LeMat-Bulk).

Cell: 5.215 5.215 5.215 Å, 90.00 90.00 90.00°
Space group Pm-3m (No. 221)
One atom of each set of equivalent atoms:
Cr (0.000, 0.000, 0.500)
Cu (0.500, 0.500, 0.500)
Pb (0.000, 0.000, 0.000)



b.
# Cr3CuPb

A relaxed Cr3CuPb crystal (PBE-GGA, Alexandria via LeMat-Bulk).

Cell: 4.687 4.687 4.687 Å, 90.00 90.00 90.00°
Space group Pm-3m (No. 221)
One atom of each set of equivalent atoms:
Cr (0.000, 0.000, 0.500)
Cu (0.000, 0.000, 0.000)
Pb (0.500, 0.500, 0.500)



Least stable structure among those shown: a.